Entry 1:
Material: Na3HgPd2O6
Method: DFT, PBE-GGA
State: relaxed

abc: 5.7491 5.7491 5.6427
angles: 99.50 99.50 120.86
Fractional positions:
Pd: 0.3315 0.6685 0.0000
Pd: 0.6685 0.3315 0.0000
O: 0.9230 0.5564 0.7903
O: 0.7023 0.7023 0.2075
O: 0.0770 0.4436 0.2097
O: 0.5564 0.9230 0.7903
O: 0.4436 0.0770 0.2097
O: 0.2977 0.2977 0.7925
Na: 0.8380 0.1620 0.5000
Na: 0.1620 0.8380 0.5000
Na: 0.5000 0.5000 0.5000
Hg: 0.0000 0.0000 0.0000

## Properties
space group: C2/m, No. 12
D(E_F): 4.76 states/eV/f.u.
E_form (uncorrected): -0.811 eV/atom
density: 6.4 Mg/m³

---

Entry 2:
Material: Ag2OsPt
Method: DFT, PBE-GGA
State: relaxed

abc: 4.8193 4.8193 4.8193
angles: 129.83 129.83 73.68
Fractional positions:
Os: 0.5000 0.5000 0.0000
Ag: 0.0000 0.0000 0.0000
Ag: 0.2500 0.7500 0.5000
Pt: 0.7500 0.2500 0.5000

## Properties
energy above the lowest structure with this stoichiometry: 355 meV per atom
space group: I-4m2, No. 119
D(E_F): 4.67 states/eV/f.u.
formation energy from the elements: 0.609 eV per atom
density: 15.5 Mg/m³

---

Entry 3:
Material: CsTi3H
Method: DFT, PBE-GGA
State: relaxed

abc: 4.3767 4.3767 4.3767
angles: 90.00 90.00 90.00
Fractional positions:
Ti: 0.0000 0.5000 0.0000
Ti: 0.5000 0.0000 0.0000
Ti: 0.0000 0.0000 0.5000
Cs: 0.5000 0.5000 0.5000
H: 0.0000 0.0000 0.0000

## Properties
energy above the lowest structure with this stoichiometry: 0 meV per atom
space group: Pm-3m, No. 221
D(E_F): 3.70 states/eV/f.u.
density: 5.5 Mg/m³

---

Entry 4:
Material: HfNpV
Method: DFT, PBE-GGA
State: relaxed

abc: 3.2681 3.2681 5.7218
angles: 106.59 106.59 90.00
Fractional positions:
Hf: 0.6129 0.6129 0.2257
V: 0.9310 0.9310 0.8620
Np: 0.3061 0.3061 0.6123

## Properties
space group: I4mm, No. 107
D(E_F): 6.04 states/eV/f.u.
formation energy from the elements: 0.346 eV per atom
density: 13.9 Mg/m³

---

Entry 5:
Material: Nd2Y2Er5
Method: DFT, PBE-GGA
State: relaxed

abc: 11.8086 6.6964 10.0847
angles: 109.39 125.84 90.00
Fractional positions:
Y: 0.1210 0.6825 0.2522
Y: 0.8790 0.4303 0.7478
Y: 0.3688 0.9303 0.7478
Y: 0.6312 0.1825 0.2522
Nd: 0.5000 0.5098 0.0000
Nd: 0.0000 0.0098 0.0000
Nd: 0.2598 0.3543 0.5000
Nd: 0.7402 0.8543 0.5000
Er: 0.0009 0.6488 0.5000
Er: 0.3769 0.0405 0.2842
Er: 0.8107 0.2595 0.1054
Er: 0.4073 0.5405 0.2842
Er: 0.7947 0.7595 0.1054
Er: 0.6231 0.7563 0.7158
Er: 0.5927 0.2563 0.7158
Er: 0.2053 0.6541 0.8946
Er: 0.9991 0.1488 0.5000
Er: 0.1893 0.1541 0.8946

## Properties
energy above the lowest structure with this stoichiometry: 57 meV per atom
space group: Ima2, No. 46
D(E_F): 14.14 states/eV/f.u.
formation energy from the elements: 0.208 eV per atom
density: 7.3 Mg/m³

---

Entry 6:
Material: PrHo4Tl2
Method: DFT, PBE-GGA
State: relaxed

abc: 5.4139 8.7553 11.3334
angles: 112.97 76.18 71.99
Fractional positions:
Ho: 0.3392 0.4026 0.9189
Ho: 0.6883 0.9531 0.6703
Ho: 0.3117 0.0469 0.3297
Ho: 0.9906 0.7121 0.3067
Ho: 0.6608 0.5974 0.0811
Ho: 0.3493 0.6160 0.6854
Ho: 0.6507 0.3840 0.3146
Ho: 0.0094 0.2879 0.6933
Tl: 0.6576 0.1849 0.4998
Tl: 0.6888 0.7599 0.8625
Tl: 0.3424 0.8151 0.5002
Tl: 0.3112 0.2401 0.1375
Pr: 0.9761 0.1225 0.9252
Pr: 0.0239 0.8775 0.0748

## Properties
energy above the lowest structure with this stoichiometry: 0 meV per atom
space group: C2/m, No. 12
D(E_F): 7.16 states/eV/f.u.
formation energy from the elements: -0.113 eV per atom
density: 9.4 Mg/m³

---

Entry 7:
Material: BaCoRh3
Method: DFT, PBE-GGA
State: relaxed

abc: 4.6739 4.6739 4.6739
angles: 90.00 90.00 90.00
Fractional positions:
Rh: 0.0000 0.5000 0.0000
Rh: 0.5000 0.0000 0.0000
Rh: 0.0000 0.0000 0.5000
Ba: 0.5000 0.5000 0.5000
Co: 0.0000 0.0000 0.0000

## Properties
energy above the lowest structure with this stoichiometry: 0 meV per atom
space group: Pm-3m, No. 221
D(E_F): 5.36 states/eV/f.u.
formation energy from the elements: 0.409 eV per atom
density: 8.2 Mg/m³

---

Entry 8:
Material: La2CoAs2
Method: DFT, PBE-GGA
State: relaxed

abc: 3.7693 3.7693 8.9545
angles: 77.85 77.85 90.00
Fractional positions:
La: 0.3999 0.3999 0.2002
La: 0.6001 0.6001 0.7998
As: 0.2500 0.7500 0.5000
As: 0.7500 0.2500 0.5000
Co: 0.0000 0.0000 0.0000

## Properties
space group: I4/mmm, No. 139
D(E_F): 3.57 states/eV/f.u.
formation energy from the elements: -0.357 eV per atom
density: 6.7 Mg/m³

---

- Which value of density does entry 7 give?
  8.2 Mg/m³

---

Please write out number 7 again, unchanged.
Material: BaCoRh3
Method: DFT, PBE-GGA
State: relaxed

abc: 4.6739 4.6739 4.6739
angles: 90.00 90.00 90.00
Fractional positions:
Rh: 0.0000 0.5000 0.0000
Rh: 0.5000 0.0000 0.0000
Rh: 0.0000 0.0000 0.5000
Ba: 0.5000 0.5000 0.5000
Co: 0.0000 0.0000 0.0000

## Properties
energy above the lowest structure with this stoichiometry: 0 meV per atom
space group: Pm-3m, No. 221
D(E_F): 5.36 states/eV/f.u.
formation energy from the elements: 0.409 eV per atom
density: 8.2 Mg/m³